Record 1
The following is a GGA-PBE calculation of an optimized crystal structure of InNi2Pt, from Alexandria via LeMat-Bulk. Values from VASP.

Results
E: -4.950 eV/atom

Quantum ESPRESSO input file:
```
&SYSTEM
  ibrav = 0, nat = 4, ntyp = 3
/
ATOMIC_SPECIES
In 114.82 In.upf
Ni 58.69 Ni.upf
Pt 195.08 Pt.upf
ATOMIC_POSITIONS crystal
In 0.7454 0.7454 0.7454
Ni 0.9939 0.9939 0.9939
Ni 0.2548 0.2548 0.2548
Pt 0.5059 0.5059 0.5059
CELL_PARAMETERS angstrom
-5.1813 6.1201 -2.7434
-4.6855 4.7454 -5.2303
-6.7457 3.8009 -3.4461
```



Record 2
The following is a GGA-PBE calculation of an optimized crystal structure of InNi2Pt, from Alexandria via LeMat-Bulk. Values from VASP.

Results
E: -4.916 eV/atom

Quantum ESPRESSO input file:
```
&SYSTEM
  ibrav = 0, nat = 8, ntyp = 3
/
ATOMIC_SPECIES
Ni 58.69 Ni.upf
Pt 195.08 Pt.upf
In 114.82 In.upf
ATOMIC_POSITIONS crystal
Ni 0.6662 0.1250 0.2500
Ni 0.0838 0.6250 0.2500
Ni 0.3750 0.3338 0.7500
Ni 0.8750 0.9162 0.7500
Pt 0.0000 0.0000 0.0000
Pt 0.7500 0.2500 0.5000
In 0.5000 0.5000 0.0000
In 0.2500 0.7500 0.5000
CELL_PARAMETERS angstrom
-0.5665 3.1558 2.0606
0.1272 -2.0665 3.1999
8.6484 1.8263 3.1054
```



Record 3
The following is a GGA-PBE calculation of an optimized crystal structure of InNi2Pt, from Alexandria via LeMat-Bulk. Values from VASP.

Results
E: -5.211 eV/atom

Quantum ESPRESSO input file:
```
&SYSTEM
  ibrav = 0, nat = 4, ntyp = 3
/
ATOMIC_SPECIES
In 114.82 In.upf
Ni 58.69 Ni.upf
Pt 195.08 Pt.upf
ATOMIC_POSITIONS crystal
In 0.2554 0.2554 0.2342
Ni 0.0067 0.0067 0.9905
Ni 0.7436 0.7436 0.7532
Pt 0.4943 0.4943 0.5221
CELL_PARAMETERS angstrom
-3.2028 1.5474 3.1056
-1.4088 -0.3740 4.4914
2.0391 3.4075 2.0847
```



Record 4
The following is a GGA-PBE calculation of an optimized crystal structure of In3NiPt, from Alexandria via LeMat-Bulk. Values from VASP.

Results
Polymorph energy (0 for the lowest one): 0 meV per atom

Quantum ESPRESSO input file:
```
&SYSTEM
  ibrav = 0, nat = 5, ntyp = 3
/
ATOMIC_SPECIES
Ni 58.69 Ni.upf
Pt 195.08 Pt.upf
In 114.82 In.upf
ATOMIC_POSITIONS crystal
Ni 0.0000 0.0000 0.0000
Pt 0.5000 0.5000 0.5000
In 0.0000 0.5000 0.0000
In 0.0000 0.0000 0.5000
In 0.5000 0.0000 0.0000
CELL_PARAMETERS angstrom
4.8378 0.0000 0.0000
0.0000 4.8378 0.0000
0.0000 0.0000 4.8378
```



Record 5
The following is a GGA-PBE calculation of an optimized crystal structure of InNi6Pt, from Alexandria via LeMat-Bulk. Values from VASP.

Results
E: -5.490 eV/atom

Quantum ESPRESSO input file:
```
&SYSTEM
  ibrav = 0, nat = 32, ntyp = 3
/
ATOMIC_SPECIES
In 114.82 In.upf
Ni 58.69 Ni.upf
Pt 195.08 Pt.upf
ATOMIC_POSITIONS crystal
In 0.2534 0.7466 0.7500
In 0.7466 0.2534 0.7500
In 0.5000 0.5000 0.4990
In 0.5000 0.5000 0.0010
Ni 0.2475 0.7525 0.4957
Ni 0.8794 0.6322 0.6222
Ni 0.1206 0.3678 0.6222
Ni 0.7525 0.2475 0.4957
Ni 0.3678 0.1206 0.6222
Ni 0.6322 0.8794 0.6222
Ni 0.5000 0.5000 0.2500
Ni 0.1186 0.3713 0.3726
Ni 0.3713 0.1186 0.3726
Ni 0.2475 0.7525 0.0043
Ni 0.8814 0.6287 0.1274
Ni 0.1186 0.3713 0.1274
Ni 0.7525 0.2475 0.0043
Ni 0.3713 0.1186 0.1274
Ni 0.6287 0.8814 0.1274
Ni 0.5000 0.5000 0.7500
Ni 0.1206 0.3678 0.8778
Ni 0.3678 0.1206 0.8778
Ni 0.0000 0.0000 0.2500
Ni 0.6287 0.8814 0.3726
Ni 0.8814 0.6287 0.3726
Ni 0.0000 0.0000 0.7500
Ni 0.6322 0.8794 0.8778
Ni 0.8794 0.6322 0.8778
Pt 0.2555 0.7445 0.2500
Pt 0.7445 0.2555 0.2500
Pt 0.0000 0.0000 0.4978
Pt 0.0000 0.0000 0.0022
CELL_PARAMETERS angstrom
6.3998 -0.0018 0.0000
-2.1553 6.0259 0.0000
0.0000 0.0000 10.4637
```



Record 6
The following is a GGA-PBE calculation of an optimized crystal structure of PuInNiPt, from Alexandria via LeMat-Bulk. Values from VASP.

Results
E: -7.586 eV/atom

Quantum ESPRESSO input file:
```
&SYSTEM
  ibrav = 0, nat = 4, ntyp = 4
/
ATOMIC_SPECIES
Ni 58.69 Ni.upf
In 114.82 In.upf
Pt 195.08 Pt.upf
Pu 244.00 Pu.upf
ATOMIC_POSITIONS crystal
Ni 0.7500 0.7500 0.7500
In 0.5000 0.5000 0.5000
Pt 0.2500 0.2500 0.2500
Pu 0.0000 0.0000 0.0000
CELL_PARAMETERS angstrom
4.7595 0.0000 0.0000
2.3797 4.1218 0.0000
2.3797 1.3739 3.8861
```



Record 7
The following is a GGA-PBE calculation of an optimized crystal structure of InNiSb2Pt, from Alexandria via LeMat-Bulk. Values from VASP.

Results
Raw formation energy: 652 meV per atom

Quantum ESPRESSO input file:
```
&SYSTEM
  ibrav = 0, nat = 5, ntyp = 4
/
ATOMIC_SPECIES
Sb 121.76 Sb.upf
Ni 58.69 Ni.upf
Pt 195.08 Pt.upf
In 114.82 In.upf
ATOMIC_POSITIONS crystal
Sb 0.0000 0.0000 0.5000
Sb 0.5000 0.0000 0.0000
Ni 0.5000 0.5000 0.5000
Pt 0.0000 0.0000 0.0000
In 0.0000 0.5000 0.0000
CELL_PARAMETERS angstrom
5.2663 0.0000 0.0000
0.0000 5.0596 0.0000
0.0000 0.0000 5.2663
```



Record 8
The following is a GGA-PBE calculation of an optimized crystal structure of Sc5In2Ni2Pt, from Alexandria via LeMat-Bulk. Values from VASP.

Results
E: -6.087 eV/atom

Quantum ESPRESSO input file:
```
&SYSTEM
  ibrav = 0, nat = 20, ntyp = 4
/
ATOMIC_SPECIES
Sc 44.96 Sc.upf
In 114.82 In.upf
Ni 58.69 Ni.upf
Pt 195.08 Pt.upf
ATOMIC_POSITIONS crystal
Sc 0.5000 0.1993 0.0681
Sc 0.5000 0.8007 0.9319
Sc 0.5000 0.0681 0.8007
Sc 0.5000 0.6993 0.4319
Sc 0.5000 0.9319 0.1993
Sc 0.5000 0.3007 0.5681
Sc 0.5000 0.5681 0.6993
Sc 0.5000 0.4319 0.3007
Sc 0.5000 0.5000 0.0000
Sc 0.5000 0.0000 0.5000
In 0.0000 0.6744 0.1744
In 0.0000 0.3256 0.8256
In 0.0000 0.1744 0.3256
In 0.0000 0.8256 0.6744
Ni 0.0000 0.1308 0.6308
Ni 0.0000 0.8692 0.3692
Ni 0.0000 0.6308 0.8692
Ni 0.0000 0.3692 0.1308
Pt 0.0000 0.0000 0.0000
Pt 0.0000 0.5000 0.5000
CELL_PARAMETERS angstrom
3.2750 0.0000 0.0000
0.0000 10.9548 0.0000
0.0000 0.0000 10.9548
```



Record 9
The following is a GGA-PBE calculation of an optimized crystal structure of ScIn2NiPt, from Alexandria via LeMat-Bulk. Values from VASP.

Results
E: -4.694 eV/atom

Quantum ESPRESSO input file:
```
&SYSTEM
  ibrav = 0, nat = 5, ntyp = 4
/
ATOMIC_SPECIES
Sc 44.96 Sc.upf
Ni 58.69 Ni.upf
Pt 195.08 Pt.upf
In 114.82 In.upf
ATOMIC_POSITIONS crystal
Sc 0.5000 0.5000 0.5000
Ni 0.0000 0.0000 0.0000
Pt 0.0000 0.5000 0.0000
In 0.0000 0.0000 0.5000
In 0.5000 0.0000 0.0000
CELL_PARAMETERS angstrom
-1.9267 3.9746 1.5861
-3.8298 -2.5325 1.6939
2.1964 -0.5743 4.1074
```



Record 10
The following is a GGA-PBE calculation of an optimized crystal structure of In2Ni7Sn2Pt, from Alexandria via LeMat-Bulk. Values from VASP.

Results
E: -4.983 eV/atom

Quantum ESPRESSO input file:
```
&SYSTEM
  ibrav = 0, nat = 12, ntyp = 4
/
ATOMIC_SPECIES
In 114.82 In.upf
Ni 58.69 Ni.upf
Sn 118.71 Sn.upf
Pt 195.08 Pt.upf
ATOMIC_POSITIONS crystal
In 0.5778 0.5778 0.7466
In 0.4222 0.4222 0.2534
Ni 0.5000 0.5000 0.0000
Ni 0.3581 0.3581 0.4348
Ni 0.6419 0.6419 0.5652
Ni 0.9631 0.4637 0.1224
Ni 0.4637 0.9631 0.1224
Ni 0.5363 0.0369 0.8776
Ni 0.0369 0.5363 0.8776
Sn 0.8689 0.8689 0.3985
Sn 0.1311 0.1311 0.6015
Pt 0.0000 0.0000 0.0000
CELL_PARAMETERS angstrom
-2.2298 1.8355 2.1931
-1.7488 -3.0685 0.8226
8.1563 -2.6307 12.2747
```



Record 11
The following is a GGA-PBE calculation of an optimized crystal structure of TaInNiPt, from Alexandria via LeMat-Bulk. Values from VASP.

Results
E: -6.884 eV/atom

Quantum ESPRESSO input file:
```
&SYSTEM
  ibrav = 0, nat = 4, ntyp = 4
/
ATOMIC_SPECIES
Ni 58.69 Ni.upf
In 114.82 In.upf
Pt 195.08 Pt.upf
Ta 180.95 Ta.upf
ATOMIC_POSITIONS crystal
Ni 0.5000 0.5000 0.5000
In 0.2500 0.2500 0.2500
Pt 0.0000 0.0000 0.0000
Ta 0.7500 0.7500 0.7500
CELL_PARAMETERS angstrom
-0.1623 4.0039 -2.0931
-3.4478 0.9705 -2.7585
-3.0831 3.0697 1.2289
```



Record 12
The following is a GGA-PBE calculation of an optimized crystal structure of TaInNi2Pt, from Alexandria via LeMat-Bulk. Values from VASP.

Results
E: -5.098 eV/atom

Quantum ESPRESSO input file:
```
&SYSTEM
  ibrav = 0, nat = 5, ntyp = 4
/
ATOMIC_SPECIES
Ni 58.69 Ni.upf
In 114.82 In.upf
Pt 195.08 Pt.upf
Ta 180.95 Ta.upf
ATOMIC_POSITIONS crystal
Ni 0.0000 0.0000 0.5000
Ni 0.5000 0.0000 0.0000
In 0.0000 0.0000 0.0000
Pt 0.0000 0.5000 0.0000
Ta 0.5000 0.5000 0.5000
CELL_PARAMETERS angstrom
-0.5572 -4.3973 -0.6727
1.3841 0.5326 -4.6273
4.2613 -0.7222 1.1915
```



Record 13
The following is a GGA-PBE calculation of an optimized crystal structure of TbInNiPt, from Alexandria via LeMat-Bulk. Values from VASP.

Results
E: -5.433 eV/atom

Quantum ESPRESSO input file:
```
&SYSTEM
  ibrav = 0, nat = 4, ntyp = 4
/
ATOMIC_SPECIES
Ni 58.69 Ni.upf
Tb 158.93 Tb.upf
Pt 195.08 Pt.upf
In 114.82 In.upf
ATOMIC_POSITIONS crystal
Ni 0.2500 0.2500 0.2500
Tb 0.0000 0.0000 0.0000
Pt 0.7500 0.7500 0.7500
In 0.5000 0.5000 0.5000
CELL_PARAMETERS angstrom
4.7341 0.0000 0.0000
2.3670 4.0998 0.0000
2.3670 1.3666 3.8654
```